Record 1
# GdHo2Ga3Cu2Ni | the Open Quantum Materials Database | PBE-GGA | optimized geometry
# V ... 332.9 Å³ per cell
# Magnetic moment ... 0.008 μB per cell
# E_tot ... -4.523 eV/atom
data_GdHo2Ga3Cu2Ni
_chemical_formula_sum 'Gd2 Ho4 Ga6 Cu4 Ni2'
_cell_length_a 3.991
_cell_length_b 12.003
_cell_length_c 6.950
_cell_angle_alpha 90.00
_cell_angle_beta 90.00
_cell_angle_gamma 90.00
_symmetry_space_group_name_H-M 'A m m 2'
_symmetry_Int_Tables_number 38
loop_
_symmetry_equiv_pos_as_xyz
'x,y,z'
'-x,-y,z'
'-x,y,z'
'x,-y,z'
'x,y+1/2,z+1/2'
'-x,-y+1/2,z+1/2'
'-x,y+1/2,z+1/2'
'x,-y+1/2,z+1/2'
loop_
_atom_site_label
_atom_site_type_symbol
_atom_site_fract_x
_atom_site_fract_y
_atom_site_fract_z
Gd1 Gd 0.000 0.000 0.000
Ho1 Ho 0.000 0.205 0.615
Ga1 Ga 0.500 0.000 0.647
Ga2 Ga 0.500 0.118 0.294
Cu1 Cu 0.500 0.169 0.910
Ni1 Ni 0.000 0.000 0.414

***

Record 2
# Y5Ni2Te2 | the Open Quantum Materials Database | PBE-GGA | optimized geometry
# V ... 898.6 Å³ per cell
# Magnetic moment ... 0.404 μB per cell
# E_tot ... -6.351 eV/atom
data_Y5Ni2Te2
_chemical_formula_sum 'Y20 Ni8 Te8'
_cell_length_a 3.994
_cell_length_b 15.046
_cell_length_c 14.953
_cell_angle_alpha 90.00
_cell_angle_beta 90.00
_cell_angle_gamma 90.00
_symmetry_space_group_name_H-M 'C m c m'
_symmetry_Int_Tables_number 63
_symmetry_space_group_name_Hall '-C 2c 2'
loop_
_atom_site_label
_atom_site_type_symbol
_atom_site_fract_x
_atom_site_fract_y
_atom_site_fract_z
Y1 Y 0.000 0.040 0.122
Y2 Y 0.000 0.259 0.628
Y3 Y 0.000 0.395 0.250
Ni1 Ni 0.000 0.184 0.250
Ni2 Ni 0.000 0.413 0.750
Te1 Te 0.000 0.385 0.040

***

Record 3
# Nd2GdCo2B2C3 | the Open Quantum Materials Database | PBE-GGA | optimized geometry
# V ... 278.6 Å³ per cell
# Magnetic moment ... 0.047 μB per cell
# E_tot ... -7.120 eV/atom
data_Nd2GdCo2B2C3
_chemical_formula_sum 'Nd4 Gd2 Co4 B4 C6'
_cell_length_a 3.667
_cell_length_b 3.667
_cell_length_c 20.721
_cell_angle_alpha 90.00
_cell_angle_beta 90.00
_cell_angle_gamma 90.00
_symmetry_space_group_name_H-M 'I 4/m m m'
_symmetry_Int_Tables_number 139
_symmetry_space_group_name_Hall '-I 4 2'
loop_
_atom_site_label
_atom_site_type_symbol
_atom_site_fract_x
_atom_site_fract_y
_atom_site_fract_z
Nd1 Nd 0.000 0.000 0.126
Gd1 Gd 0.000 0.000 0.500
Co1 Co 0.000 0.500 0.250
B1 B 0.000 0.000 0.303
C1 C 0.000 0.000 0.000
C2 C 0.000 0.000 0.376

***

Record 4
# LuHfNiSb | the Open Quantum Materials Database | PBE-GGA | optimized geometry
# V ... 321.9 Å³ per cell
# Magnetic moment ... 0.142 μB per cell
# Energy relative to the lowest polymorph listed for this composition ... 0.000 eV/atom
data_LuHfNiSb
_chemical_formula_sum 'Lu4 Hf4 Ni4 Sb4'
_cell_length_a 6.854
_cell_length_b 6.854
_cell_length_c 6.854
_cell_angle_alpha 90.00
_cell_angle_beta 90.00
_cell_angle_gamma 90.00
_symmetry_space_group_name_H-M 'F -4 3 m'
_symmetry_Int_Tables_number 216
_symmetry_space_group_name_Hall 'F -4 2 3'
loop_
_atom_site_label
_atom_site_type_symbol
_atom_site_fract_x
_atom_site_fract_y
_atom_site_fract_z
Lu1 Lu 0.000 0.000 0.000
Hf1 Hf 0.250 0.250 0.250
Ni1 Ni 0.250 0.250 0.750
Sb1 Sb 0.000 0.000 0.500

***

Density: 8799 6040 7406 11016 (kg/m³)